1.
Here is a relaxed structure of Y3HAu from the Alexandria database. Energies are from PBE.

## Properties
E: -27.70 eV per cell
density of states at the Fermi level: 5.522 states/eV/cell

Cell lengths 4.7606, 4.7606, 4.7606 Å; angles 90.00, 90.00, 90.00 degrees
Element x y z (fractional)
H 0.0000 0.0000 0.0000
Y 0.0000 0.0000 0.5000
Y 0.0000 0.5000 0.0000
Y 0.5000 0.0000 0.0000
Au 0.5000 0.5000 0.5000

***

2.
Here is a relaxed structure of OsRh3 from the Alexandria database. Energies are from PBE.

## Properties
E: -32.97 eV per cell
ΔE_f: 0.31 eV/f.u.
density of states at the Fermi level: 7.304 states/eV/cell

Cell lengths 8.9861, 8.9861, 8.9861 Å; angles 17.47, 17.47, 17.47 degrees
Element x y z (fractional)
Rh 0.2515 0.2515 0.2515
Os 0.0000 0.0000 0.0000
Rh 0.7485 0.7485 0.7485
Rh 0.5000 0.5000 0.5000

***

3.
Here is a relaxed structure of LaMgGe2 from the Alexandria database. Energies are from PBE.

## Properties
E: -33.50 eV per cell
ΔE_f: -1.00 eV/f.u.
density of states at the Fermi level: 0.949 states/eV/cell

Cell lengths 5.0307, 5.0307, 9.3242 Å; angles 74.35, 74.35, 90.00 degrees
Element x y z (fractional)
Mg 0.2500 0.7500 0.5000
La 0.0000 0.0000 0.0000
Ge 0.3750 0.5043 0.7500
Ge 0.2543 0.6250 0.2500
Ge 0.8750 0.7457 0.7500
La 0.7500 0.2500 0.5000
Mg 0.5000 0.5000 0.0000
Ge 0.4957 0.1250 0.2500

***

- Number 1 is which compound?
  Y3HAu

***

- Among the records above, which one has the lowest E?
  LaMgGe2

***

- The lowest density of states at the Fermi level belongs to which entry?
  LaMgGe2

***

- Number 1 is which compound?
  Y3HAu